#P
The following is a PBE with a Hubbard U calculation of PrWO5 after structural relaxation, from Alexandria via LeMat-Bulk.

abc: 5.4759 13.1257 7.3133
angles: 90.00 116.53 90.00
Atoms (fractional coordinates):
1 Pr 0.1365 0.0555 0.2881
2 Pr 0.1365 0.4445 0.7881
3 Pr 0.8635 0.5555 0.2119
4 Pr 0.8635 0.9445 0.7119
5 W 0.3679 0.1387 0.8560
6 W 0.3679 0.3613 0.3560
7 W 0.6321 0.6387 0.6440
8 W 0.6321 0.8613 0.1440
9 O 0.0552 0.0942 0.5852
10 O 0.0552 0.4058 0.0852
11 O 0.1431 0.0845 0.9603
12 O 0.1431 0.4155 0.4603
13 O 0.3061 0.6231 0.4172
14 O 0.3061 0.8769 0.9172
15 O 0.3231 0.2257 0.3238
16 O 0.3231 0.2743 0.8238
17 O 0.4931 0.0655 0.6784
18 O 0.4931 0.4345 0.1784
19 O 0.5069 0.5655 0.8216
20 O 0.5069 0.9345 0.3216
21 O 0.6769 0.7257 0.1762
22 O 0.6769 0.7743 0.6762
23 O 0.6939 0.1231 0.0828
24 O 0.6939 0.3769 0.5828
25 O 0.8569 0.5845 0.5397
26 O 0.8569 0.9155 0.0397
27 O 0.9448 0.5942 0.9148
28 O 0.9448 0.9058 0.4148

#Q
The following is a PBE with a Hubbard U calculation of PrWO5 after structural relaxation, from Alexandria via LeMat-Bulk.

abc: 5.7426 5.7426 7.7931
angles: 109.55 109.55 71.36
Atoms (fractional coordinates):
1 Pr 0.0523 0.9477 0.7500
2 Pr 0.9477 0.0523 0.2500
3 W 0.5000 0.5000 0.0000
4 W 0.5000 0.5000 0.5000
5 O 0.2083 0.7777 0.0351
6 O 0.2223 0.7917 0.4649
7 O 0.2644 0.2890 0.3882
8 O 0.2890 0.2644 0.8882
9 O 0.4340 0.5660 0.7500
10 O 0.5660 0.4340 0.2500
11 O 0.7110 0.7356 0.1118
12 O 0.7356 0.7110 0.6118
13 O 0.7777 0.2083 0.5351
14 O 0.7917 0.2223 0.9649

The value obtained for the density of states at the Fermi level is 4.08 states/eV per cell.

Top of the stability list: #Q, leading by 7 meV/atom.